A plane-wave DFT calculation with PBE was carried out for Cr2PbCl after structural relaxation.

SG = I-4m2
energy relative to the elements, uncorrected = 52.3 kJ/mol of atoms

Cell: 6.4979 6.4979 6.4979 Å, 145.28 145.28 49.92°
Each line ends with the local moment (μB).
Element x y z (fractional)
Pb: 0.5000 0.5000 0.0000  -0.15
Cr: 0.0000 0.0000 0.0000  3.48
Cr: 0.2500 0.7500 0.5000  4.03
Cl: 0.7500 0.2500 0.5000  0.01